Compound: LiIn6Hg2
Source: the Alexandria database
Functional: GGA-PBE
Structure: relaxed

Unit cell a=8.1456 b=8.1456 c=8.1218 alpha=112.25 beta=112.25 gamma=85.71
Element x y z (fractional)
Li 0.1741 0.8259 0.7500
Li 0.8259 0.1741 0.2500
In 0.0035 0.1906 0.6762
In 0.0853 0.3777 0.1357
In 0.1906 0.0035 0.1762
In 0.3288 0.5942 0.0236
In 0.3777 0.0853 0.6357
In 0.4058 0.6712 0.4764
In 0.5942 0.3288 0.5236
In 0.6223 0.9147 0.3643
In 0.6712 0.4058 0.9764
In 0.8094 0.9965 0.8238
In 0.9147 0.6223 0.8643
In 0.9965 0.8094 0.3238
Hg 0.1926 0.4274 0.5666
Hg 0.4274 0.1926 0.0666
Hg 0.5726 0.8074 0.9334
Hg 0.8074 0.5726 0.4334

Properties
Calculated formation energy   -43 meV per atom
V   230 Å³/f.u.
Symmetry   No. 15
Magnetic moment   0.00 Bohr magnetons per cell
Energy   -2.15 eV/atom